Computed, not measured: a relaxed structure of Tl6InAu4 at the PBE-GGA level of DFT.

a = 10.2126 Å, b = 10.2126 Å, c = 6.7277 Å
α = 90.00°, β = 90.00°, γ = 120.00°
Space group P6_3mc (No. 186)
Inequivalent atoms, fractional coordinates:
Tl: 0.0483 0.5242 0.0000 [6 per cell]
Tl: 0.1374 0.2749 0.6869 [6 per cell]
In: 0.3333 0.6667 0.3709 [2 per cell]
Au: 0.1811 0.3622 0.2557 [6 per cell]
Au: 0.3333 0.6667 0.7756 [2 per cell]


Computed, not measured: a relaxed structure of Tl2InAu6 at the PBE-GGA level of DFT.

a = 11.228 Å, b = 7.530 Å, c = 5.374 Å
α = 90.00°, β = 116.56°, γ = 90.00°
Space group C2/m (No. 12)
Inequivalent atoms, fractional coordinates:
Tl: 0.155 0.000 0.295 [4 per cell]
In: 0.000 0.500 0.500 [2 per cell]
Au: 0.121 0.191 0.774 [8 per cell]
Au: 0.136 0.500 0.126 [4 per cell]


Computed, not measured: a relaxed structure of Tl2InAu2 at the PBE-GGA level of DFT.

a = 7.487 Å, b = 7.487 Å, c = 4.543 Å
α = 90.00°, β = 90.00°, γ = 90.00°
Space group P4/mbm (No. 127)
Inequivalent atoms, fractional coordinates:
Tl: 0.164 0.336 0.000 [4 per cell]
In: 0.000 0.000 0.500 [2 per cell]
Au: 0.138 0.638 0.500 [4 per cell]

Energy relative to the lowest polymorph listed for this composition (kJ per mole of atoms): 3.3


Computed, not measured: a relaxed structure of TlIn2Au at the PBE-GGA level of DFT.

a = 4.234 Å, b = 4.572 Å, c = 5.822 Å
α = 90.00°, β = 107.01°, γ = 90.00°
Space group P2/m (No. 10)
Inequivalent atoms, fractional coordinates:
Tl: 0.000 0.000 0.000 [1 per cell]
In: 0.323 0.500 0.724 [2 per cell]
Au: 0.500 0.000 0.500 [1 per cell]

Energy relative to the lowest polymorph listed for this composition (kJ per mole of atoms): 7.8


Computed, not measured: a relaxed structure of TlInAu2 at the PBE-GGA level of DFT.

a = 9.285 Å, b = 3.717 Å, c = 5.721 Å
α = 90.00°, β = 106.03°, γ = 90.00°
Space group Cm (No. 8)
Inequivalent atoms, fractional coordinates:
Tl: 0.000 0.000 0.000 [2 per cell]
In: 0.269 0.500 0.349 [2 per cell]
Au: 0.007 0.500 0.529 [2 per cell]
Au: 0.247 0.000 0.748 [2 per cell]


Computed, not measured: a relaxed structure of Tl14In2Au9 at the PBE-GGA level of DFT.

a = 8.5895 Å, b = 8.5895 Å, c = 11.5197 Å
α = 90.00°, β = 90.00°, γ = 120.00°
Space group P-3 (No. 147)
Inequivalent atoms, fractional coordinates:
Tl: 0.0000 0.0000 0.2420 [2 per cell]
Tl: 0.0256 0.6739 0.4125 [6 per cell]
Tl: 0.0638 0.3828 0.0994 [6 per cell]
In: 0.3333 0.6667 0.7625 [2 per cell]
Au: 0.0000 0.0000 0.5000 [1 per cell]
Au: 0.0416 0.3476 0.8415 [6 per cell]
Au: 0.3333 0.6667 0.5181 [2 per cell]


Computed, not measured: a relaxed structure of TlIn2Au at the PBE-GGA level of DFT.

a = 3.7117 Å, b = 3.7117 Å, c = 26.8699 Å
α = 90.00°, β = 90.00°, γ = 120.00°
Space group R-3m (No. 166, hexagonal axes)
Inequivalent atoms, fractional coordinates:
Tl: 0.0000 0.0000 0.0000 [3 per cell]
In: 0.0000 0.0000 0.2373 [6 per cell]
Au: 0.0000 0.0000 0.5000 [3 per cell]

Energy relative to the lowest polymorph listed for this composition (kJ per mole of atoms): 4.7


Computed, not measured: a relaxed structure of TlInAu2 at the PBE-GGA level of DFT.

a = 3.312 Å, b = 5.274 Å, c = 10.481 Å
α = 90.00°, β = 90.00°, γ = 90.00°
Space group Imm2 (No. 44)
Inequivalent atoms, fractional coordinates:
Tl: 0.000 0.000 0.000 [2 per cell]
In: 0.000 0.500 0.788 [2 per cell]
Au: 0.000 0.000 0.520 [2 per cell]
Au: 0.000 0.500 0.242 [2 per cell]


Computed, not measured: a relaxed structure of TlIn2Au at the PBE-GGA level of DFT.

a = 7.848 Å, b = 3.719 Å, c = 7.742 Å
α = 90.00°, β = 102.82°, γ = 90.00°
Space group C2/m (No. 12)
Inequivalent atoms, fractional coordinates:
Tl: 0.000 0.000 0.000 [2 per cell]
In: 0.238 0.000 0.701 [4 per cell]
Au: 0.000 0.500 0.500 [2 per cell]

Energy relative to the lowest polymorph listed for this composition (kJ per mole of atoms): 4.5


Computed, not measured: a relaxed structure of TlIn2Au at the PBE-GGA level of DFT.

a = 3.915 Å, b = 4.683 Å, c = 5.983 Å
α = 90.00°, β = 108.57°, γ = 90.00°
Space group Pm (No. 6)
Inequivalent atoms, fractional coordinates:
Tl: 0.000 0.000 0.000 [1 per cell]
In: 0.312 0.500 0.642 [1 per cell]
In: 0.719 0.000 0.457 [1 per cell]
Au: 0.586 0.500 0.160 [1 per cell]

Energy relative to the lowest polymorph listed for this composition (kJ per mole of atoms): 9.8


Computed, not measured: a relaxed structure of Tl5In12Au3 at the PBE-GGA level of DFT.

a = 17.096 Å, b = 17.096 Å, c = 17.096 Å
α = 90.00°, β = 90.00°, γ = 90.00°
Space group Ia-3d (No. 230)
Inequivalent atoms, fractional coordinates:
Tl: 0.000 0.000 0.000 [16 per cell]
Tl: 0.000 0.250 0.375 [24 per cell]
In: 0.015 0.089 0.651 [96 per cell]
Au: 0.000 0.250 0.125 [24 per cell]


Computed, not measured: a relaxed structure of Tl2In5Au12 at the PBE-GGA level of DFT.

a = 14.671 Å, b = 7.502 Å, c = 7.401 Å
α = 90.00°, β = 96.74°, γ = 90.00°
Space group C2/m (No. 12)
Inequivalent atoms, fractional coordinates:
Tl: 0.000 0.221 0.000 [4 per cell]
In: 0.000 0.000 0.500 [2 per cell]
In: 0.171 0.500 0.956 [4 per cell]
In: 0.239 0.000 0.542 [4 per cell]
Au: 0.075 0.500 0.289 [4 per cell]
Au: 0.091 0.307 0.635 [8 per cell]
Au: 0.148 0.000 0.859 [4 per cell]
Au: 0.193 0.197 0.218 [8 per cell]


Sequential spin magnetization output: 0.0, 0.0, 0.0, 0.0, 0.0, 0.0, 0.0, 0.0, 0.0, 0.0, 0.0, 0.0 μB per formula unit
Sequential energy relative to the elements output: -33.6, -5.4, -43.8, -41.7, -42.2, -31.5, -73.7, -17.4, -75.9, -21.0, 111.2, -66.1 meV/atom